TaMnAs | Alexandria | PBE | relaxed; space-group type = No. 107; DOS at the Fermi energy = 0.993 states/eV/atom; E_tot = -8.593 eV/atom; size of the total moment = 0.000 μB per atom
1.0
5.340 0.021 0.000
3.668 3.881 0.000
-4.504 -1.951 2.103
As Mn Ta
1 1 1
direct
0.975 0.975 0.000
0.353 0.353 0.000
0.672 0.672 0.000